(1)
The following is a GGA-PBE calculation of a relaxed structure of TbEr2Tl, from Alexandria.

Cell lengths 3.6043, 3.6043, 9.0472 Å; angles 90.00, 90.00, 90.00 degrees
Closest atoms and distances in Å follow each position.
Space group P4/mmm (No. 123)
Symmetry-distinct sites (fractional):
Tb 0.0000 0.0000 0.0000 (multiplicity 1)  8 Er 3.54, 4 Tb 3.60
Er 0.5000 0.5000 0.2714 (multiplicity 2)  4 Tl 3.28, 4 Tb 3.54, 4 Er 3.60
Tl 0.0000 0.0000 0.5000 (multiplicity 1)  8 Er 3.28, 4 Tl 3.60

Values from the calculation:
Uncorrected energy = -4.20 eV/atom
E_form = -166.0 meV per atom

(2)
The following is a GGA-PBE calculation of a relaxed structure of LaTlSn, from Alexandria.

Cell lengths 4.9616, 16.9306, 4.3562 Å; angles 90.00, 90.00, 90.00 degrees
Closest atoms and distances in Å follow each position.
Space group Cmcm (No. 63)
Symmetry-distinct sites (fractional):
La 0.0000 0.0931 0.2500 (multiplicity 4)  6 Sn 3.34-3.63, 4 Tl 3.43-3.66
Tl 0.0000 0.2671 0.7500 (multiplicity 4)  4 Tl 3.35, 4 La 3.43-3.66, 2 Sn 3.60
Sn 0.0000 0.4365 0.2500 (multiplicity 4)  2 Sn 3.06, 4 La 3.34

Values from the calculation:
Uncorrected energy = -4.27 eV/atom
E_form = -502.6 meV per atom

(3)
The following is a GGA-PBE calculation of a relaxed structure of ZnGaOs, from Alexandria.

Cell lengths 10.5998, 2.8562, 6.6126 Å; angles 90.00, 108.13, 90.00 degrees
Closest atoms and distances in Å follow each position.
Space group C2/m (No. 12)
Symmetry-distinct sites (fractional):
Zn 0.0678 0.0000 0.2588 (multiplicity 4)  2 Ga 2.51-2.75, 4 Os 2.65-2.69
Ga 0.1705 0.0000 0.6565 (multiplicity 4)  2 Zn 2.51-2.75, 3 Os 2.62-2.66
Os 0.1409 0.5000 0.9774 (multiplicity 4)  3 Ga 2.62-2.66, 4 Zn 2.65-2.69, 4 Os 2.66-2.86

Values from the calculation:
Uncorrected energy = -5.07 eV/atom
E_form = 103.9 meV per atom

(4)
The following is a GGA-PBE calculation of a relaxed structure of Li5S, from Alexandria.

Cell lengths 3.8766, 12.1418, 3.8749 Å; angles 90.00, 90.00, 90.00 degrees
Closest atoms and distances in Å follow each position.
Space group Cmmm (No. 65)
Symmetry-distinct sites (fractional):
Li 0.0000 0.0000 0.0000 (multiplicity 2)  8 Li 2.64-2.74, 4 S 2.74
Li 0.0000 0.1479 0.5000 (multiplicity 4)  6 Li 2.64-2.74, 2 S 2.64
Li 0.0000 0.3409 0.0000 (multiplicity 4)  2 S 2.74, 10 Li 2.74-3.04
S 0.0000 0.5000 0.5000 (multiplicity 2)  12 Li 2.64-2.74

Values from the calculation:
Uncorrected formation energy = -3.05 eV per formula unit
Uncorrected energy = -2.79 eV/atom

(5)
The following is a GGA-PBE calculation of a relaxed structure of RbNaPCl2, from Alexandria.

Cell lengths 6.2076, 6.2076, 6.2301 Å; angles 90.00, 90.00, 90.00 degrees
Closest atoms and distances in Å follow each position.
Space group P4/mmm (No. 123)
Symmetry-distinct sites (fractional):
Rb 0.0000 0.0000 0.0000 (multiplicity 1)  4 Cl 3.10, 2 P 3.12
Na 0.5000 0.5000 0.5000 (multiplicity 1)  4 P 4.39, 8 Cl 4.40
P 0.0000 0.0000 0.5000 (multiplicity 1)  2 Rb 3.12
Cl 0.0000 0.5000 0.0000 (multiplicity 2)  2 Rb 3.10

Values from the calculation:
Uncorrected formation energy = -1.32 eV per formula unit
Uncorrected energy = -2.54 eV/atom

(6)
The following is a GGA-PBE calculation of a relaxed structure of FeH3Rh3, from Alexandria.

Cell lengths 3.9508, 3.9508, 3.9508 Å; angles 90.00, 90.00, 90.00 degrees
Closest atoms and distances in Å follow each position.
Space group Pm-3m (No. 221)
Symmetry-distinct sites (fractional):
Fe 0.0000 0.0000 0.0000 (multiplicity 1)  6 H 1.98
H 0.0000 0.0000 0.5000 (multiplicity 3)  2 Fe 1.98, 4 Rh 1.98
Rh 0.0000 0.5000 0.5000 (multiplicity 3)  4 H 1.98

Values from the calculation:
Uncorrected energy = -5.79 eV/atom

(7)
The following is a GGA-PBE calculation of a relaxed structure of PmHo4Th2, from Alexandria.

Cell lengths 3.5030, 8.7552, 8.8032 Å; angles 119.46, 90.07, 101.47 degrees
Closest atoms and distances in Å follow each position.
Space group P-1 (No. 2)
Symmetry-distinct sites (fractional):
Pm 0.0000 0.0000 0.0000 (multiplicity 1)  2 Th 3.40, 2 Pm 3.50, 4 Ho 3.62
Ho 0.2951 0.5879 0.7055 (multiplicity 2)  3 Th 3.37-3.62, 7 Ho 3.50-3.75, 2 Pm 3.62
Ho 0.3519 0.7056 0.1538 (multiplicity 2)  7 Ho 3.50-3.75, 4 Th 3.61-3.71, 2 Pm 3.83-3.84
Th 0.0679 0.1378 0.4357 (multiplicity 2)  1 Th 3.09, 1 Ho 3.37, 1 Pm 3.40

Values from the calculation:
Uncorrected energy = -5.32 eV/atom
E_form = 94.3 meV per atom

(8)
The following is a GGA-PBE calculation of a relaxed structure of Pm4TmAl2, from Alexandria.

Cell lengths 9.3381, 9.0631, 6.5595 Å; angles 90.00, 134.32, 90.00 degrees
Closest atoms and distances in Å follow each position.
Space group C2/m (No. 12)
Symmetry-distinct sites (fractional):
Pm 0.2327 0.1899 0.2326 (multiplicity 8)  4 Pm 3.11-3.47, 4 Al 3.19-3.46, 1 Tm 3.33
Tm 0.0000 0.0000 0.5000 (multiplicity 2)  4 Pm 3.33, 4 Al 3.55-3.59
Al 0.0029 0.5000 0.1953 (multiplicity 4)  1 Al 2.52

Values from the calculation:
Uncorrected energy = -4.53 eV/atom
E_form = -104.3 meV per atom

(9)
The following is a GGA-PBE calculation of a relaxed structure of Al4Ga2Tc, from Alexandria.

Cell lengths 6.8329, 6.8329, 4.8738 Å; angles 90.00, 90.00, 90.00 degrees
Closest atoms and distances in Å follow each position.
Space group I4/mmm (No. 139)
Symmetry-distinct sites (fractional):
Al 0.1932 0.1932 0.0000 (multiplicity 8)  4 Al 2.64-2.67, 4 Ga 2.76
Ga 0.0000 0.5000 0.2500 (multiplicity 4)  2 Ga 2.44
Tc 0.0000 0.0000 0.5000 (multiplicity 2)  12 Al 2.96-3.07

Values from the calculation:
Uncorrected energy = -4.23 eV/atom
E_form = 257.6 meV per atom

(10)
The following is a GGA-PBE calculation of a relaxed structure of Tb3Nd7Er2, from Alexandria.

Cell lengths 5.8251, 38.4247, 3.6310 Å; angles 90.00, 90.00, 90.00 degrees
Closest atoms and distances in Å follow each position.
Space group Cmmm (No. 65)
Symmetry-distinct sites (fractional):
Tb 0.0000 0.0000 0.0000 (multiplicity 2)  4 Nd 3.43, 2 Tb 3.63
Tb 0.0000 0.1843 0.0000 (multiplicity 4)  2 Tb 3.63, 8 Nd 3.69-3.94, 4 Er 3.69
Nd 0.0000 0.0933 0.5000 (multiplicity 4)  6 Nd 3.52-3.63, 2 Er 3.61, 2 Tb 3.94
Nd 0.0000 0.2678 0.5000 (multiplicity 4)  1 Er 3.20, 2 Nd 3.22
Nd 0.0000 0.4270 0.0000 (multiplicity 4)  8 Nd 3.34-3.63, 2 Er 3.43
Nd 0.0000 0.5000 0.5000 (multiplicity 2)  6 Nd 3.34-3.63, 4 Tb 3.43
Er 0.0000 0.3512 0.5000 (multiplicity 4)  3 Nd 3.20-3.43

Values from the calculation:
Uncorrected energy = -4.59 eV/atom
E_form = 112.2 meV per atom

(11)
The following is a GGA-PBE calculation of a relaxed structure of BaPtSe2, from Alexandria.

Cell lengths 4.5494, 3.8517, 6.5657 Å; angles 90.00, 93.51, 90.00 degrees
Closest atoms and distances in Å follow each position.
Space group P2/m (No. 10)
Symmetry-distinct sites (fractional):
Ba 0.0000 0.0000 0.0000 (multiplicity 1)  8 Se 3.43
Pt 0.5000 0.0000 0.5000 (multiplicity 1)  4 Se 2.49
Se 0.4768 0.5000 0.7401 (multiplicity 2)  2 Pt 2.49

Values from the calculation:
Uncorrected formation energy = -4.19 eV per formula unit
Uncorrected energy = -4.78 eV/atom

(12)
The following is a GGA-PBE calculation of a relaxed structure of ScCd3S, from Alexandria.

Cell lengths 5.1163, 5.1163, 5.1163 Å; angles 90.00, 90.00, 90.00 degrees
Closest atoms and distances in Å follow each position.
Space group Pm-3m (No. 221)
Symmetry-distinct sites (fractional):
Sc 0.0000 0.0000 0.0000 (multiplicity 1)  12 Cd 3.62
Cd 0.0000 0.5000 0.5000 (multiplicity 3)  2 S 2.56
S 0.5000 0.5000 0.5000 (multiplicity 1)  6 Cd 2.56

Values from the calculation:
Uncorrected formation energy = 2.03 eV per formula unit
Uncorrected energy = -2.23 eV/atom